Here is a relaxed RbAcMoO4 crystal from Alexandria via LeMat-Bulk. Energies are from PBE+U.

Geometry as extended XYZ:
```
14
Lattice="-3.3546 3.9493 4.9560 3.3546 -3.9493 4.9560 3.3546 3.9493 -4.9560" Properties=species:S:1:pos:R:3 pbc="T T T"
Rb 0.0000 1.9746 1.3889
Rb 3.3546 1.9746 3.5671
Ac 3.3546 0.0000 0.0000
Ac 0.0000 0.0000 4.9560
Mo 1.6773 1.9746 -2.4780
Mo 1.6773 -1.9746 2.4780
O 3.3546 -0.6230 2.4406
O 3.3546 3.3263 -2.4406
O 1.8732 1.9746 -0.4192
O 4.8361 1.9746 -0.4192
O -1.4815 1.9746 5.3752
O 1.4815 1.9746 5.3752
O 0.0000 0.6230 7.3966
O 0.0000 4.5723 2.5154
```

Output
* size of the total moment: 4.00 μB/cell
* energy: -0.4971 Ry/atom
* volume: 18.760 Å³ per atom
* SG: Imma (74)